No. 1
Entry from Alexandria: a geometry-optimized RbTl2F3 structure (PBE).

Properties
**Space group**: No. 36
**Energy**: -0.1435 hartree per atom

```
RbTl2F3
1.0
-4.024 1.621 -6.032
2.955 -5.120 -3.347
-5.709 -1.104 3.512
F Tl Rb
6 4 2
Direct
0.580 0.825 0.825
0.082 0.827 0.501
0.082 0.501 0.827
0.582 0.499 0.173
0.582 0.173 0.499
0.080 0.175 0.175
0.925 0.834 0.168
0.925 0.168 0.834
0.425 0.832 0.166
0.425 0.166 0.832
0.316 0.499 0.499
0.816 0.501 0.501
```

---

No. 2
Entry from Alexandria: a geometry-optimized Na4Tm3AlTe8 structure (PBE).

Properties
**Space group**: No. 166
**Energy**: -0.1496 hartree per atom

```
Na4Tm3AlTe8
1.0
8.663 0.000 0.000
0.000 9.063 0.271
-4.332 -4.326 6.130
Te Tm Na Al
8 3 4 1
Direct
0.243 0.280 0.011
0.757 0.720 0.989
0.744 0.731 0.487
0.232 0.720 0.989
0.768 0.280 0.536
0.232 0.720 0.464
0.256 0.269 0.513
0.768 0.280 0.011
0.500 0.500 0.000
0.000 0.500 0.500
0.500 0.500 0.500
0.000 0.000 0.000
0.500 0.000 0.500
0.000 0.000 0.500
0.500 0.000 0.000
0.000 0.500 0.000
```